(1)
Computed, not measured: a geometry-optimized P2Au2S structure at the PBE level of DFT.

magnetization	0.00	μB per formula unit
polymorph energy (0 for the lowest one)	0.004	eV/atom
total energy	-3.794	eV/atom
space group	No. 127
energy relative to the elements, uncorrected	2.5	eV/f.u.

Cell lengths 7.0229, 7.0229, 3.9738 Å; angles 90.00, 90.00, 90.00 degrees
Closest atoms and distances in Å follow each position.
Fractional positions:
Au  0.8411  0.6589  0.0000  2 S 2.64, 4 P 2.75
Au  0.1589  0.3411  0.0000  2 S 2.64, 4 P 2.75
Au  0.3411  0.8411  0.0000  2 S 2.64, 4 P 2.75
Au  0.6589  0.1589  0.0000  2 S 2.64, 4 P 2.75
P  0.3945  0.1055  0.5000  1 P 2.10
P  0.1055  0.6055  0.5000  1 P 2.10
P  0.6055  0.8945  0.5000  1 P 2.10
P  0.8945  0.3945  0.5000  1 P 2.10
S  0.0000  0.0000  0.0000  4 Au 2.64
S  0.5000  0.5000  0.0000  4 Au 2.64



(2)
Computed, not measured: a geometry-optimized CaB3Pt3 structure at the PBE level of DFT.

magnetization	0.00	μB per formula unit
total energy	-6.083	eV/atom
space group	No. 223
ΔH_f (0 K)	-0.346	eV per atom

Cell lengths 5.9847, 5.9847, 5.9847 Å; angles 90.00, 90.00, 90.00 degrees
Closest atoms and distances in Å follow each position.
Fractional positions:
Ca  0.5000  0.5000  0.5000  12 B 3.35, 12 Pt 3.35
Ca  0.0000  0.0000  0.0000  12 B 3.35, 12 Pt 3.35
Pt  0.2500  0.5000  0.0000  4 B 2.12
Pt  0.0000  0.7500  0.5000  4 B 2.12
Pt  0.5000  0.0000  0.7500  4 B 2.12
Pt  0.0000  0.2500  0.5000  4 B 2.12
Pt  0.5000  0.0000  0.2500  4 B 2.12
Pt  0.7500  0.5000  0.0000  4 B 2.12
B  0.0000  0.5000  0.2500  4 Pt 2.12
B  0.0000  0.5000  0.7500  4 Pt 2.12
B  0.5000  0.2500  0.0000  4 Pt 2.12
B  0.5000  0.7500  0.0000  4 Pt 2.12
B  0.2500  0.0000  0.5000  4 Pt 2.12
B  0.7500  0.0000  0.5000  4 Pt 2.12



(3)
Computed, not measured: a geometry-optimized Tb12Ni6Pb structure at the PBE level of DFT.

magnetization	0.00	μB per formula unit
total energy	-5.314	eV/atom
space group	No. 204
ΔH_f (0 K)	-0.369	eV per atom

Cell lengths 8.4697, 8.4697, 8.4697 Å; angles 109.47, 109.47, 109.47 degrees
Closest atoms and distances in Å follow each position.
Fractional positions:
Tb  0.6945  0.8821  0.1877  3 Ni 2.66-2.90
Tb  0.5068  0.8123  0.6945  3 Ni 2.66-2.90
Tb  0.3055  0.4932  0.1877  3 Ni 2.66-2.90
Tb  0.1877  0.3055  0.4932  3 Ni 2.66-2.90
Tb  0.4932  0.1877  0.3055  3 Ni 2.66-2.90
Tb  0.3055  0.1179  0.8123  3 Ni 2.66-2.90
Tb  0.8123  0.3055  0.1179  3 Ni 2.66-2.90
Tb  0.8821  0.1877  0.6945  3 Ni 2.66-2.90
Tb  0.1179  0.8123  0.3055  3 Ni 2.66-2.90
Tb  0.6945  0.5068  0.8123  3 Ni 2.66-2.90
Tb  0.1877  0.6945  0.8821  3 Ni 2.66-2.90
Tb  0.8123  0.6945  0.5068  3 Ni 2.66-2.90
Ni  0.1228  0.6228  0.5000  1 Ni 2.40, 2 Tb 2.66
Ni  0.5000  0.8772  0.3772  1 Ni 2.40, 2 Tb 2.66
Ni  0.8772  0.3772  0.5000  1 Ni 2.40, 2 Tb 2.66
Ni  0.3772  0.5000  0.8772  1 Ni 2.40, 2 Tb 2.66
Ni  0.5000  0.1228  0.6228  1 Ni 2.40, 2 Tb 2.66
Ni  0.6228  0.5000  0.1228  1 Ni 2.40, 2 Tb 2.66
Pb  0.0000  0.0000  0.0000  12 Tb 3.51



(4)
Computed, not measured: a geometry-optimized VNiP structure at the PBE level of DFT.

magnetization	0.00	μB per formula unit
total energy	-7.533	eV/atom
space group	No. 62
ΔH_f (0 K)	-0.764	eV per atom

Cell lengths 3.4860, 5.8751, 6.8510 Å; angles 90.00, 90.00, 90.00 degrees
Closest atoms and distances in Å follow each position.
Fractional positions:
P  0.2500  0.2673  0.8723  4 Ni 2.23-2.26, 3 V 2.44-2.47
P  0.7500  0.2327  0.3723  4 Ni 2.23-2.26, 3 V 2.44-2.47
P  0.2500  0.7673  0.6277  4 Ni 2.23-2.26, 3 V 2.44-2.47
P  0.7500  0.7327  0.1277  4 Ni 2.23-2.26, 3 V 2.44-2.47
V  0.7500  0.9731  0.8369  5 P 2.44-2.56, 3 Ni 2.68-2.73
V  0.2500  0.5269  0.3369  5 P 2.44-2.56, 3 Ni 2.68-2.73
V  0.7500  0.4731  0.6631  5 P 2.44-2.56, 3 Ni 2.68-2.73
V  0.2500  0.0269  0.1631  5 P 2.44-2.56, 3 Ni 2.68-2.73
Ni  0.2500  0.6449  0.9351  4 P 2.23-2.26
Ni  0.7500  0.3551  0.0649  4 P 2.23-2.26
Ni  0.2500  0.1449  0.5649  4 P 2.23-2.26
Ni  0.7500  0.8551  0.4351  4 P 2.23-2.26



(5)
Computed, not measured: a geometry-optimized ReAgSb2 structure at the PBE level of DFT.

magnetization	0.00	μB per formula unit
polymorph energy (0 for the lowest one)	0.063	eV/atom
total energy	-5.502	eV/atom
space group	No. 8
energy relative to the elements, uncorrected	1.5	eV/f.u.

Cell lengths 4.8973, 4.8973, 5.7052 Å; angles 86.14, 86.14, 41.70 degrees
Closest atoms and distances in Å follow each position.
Fractional positions:
Ag  0.4244  0.4244  0.7026  5 Sb 2.78-3.08, 1 Re 2.89
Re  0.3224  0.3224  0.1944  5 Sb 2.65-2.69, 1 Ag 2.89
Sb  0.0416  0.0416  0.0930  3 Re 2.67-2.69
Sb  0.7116  0.7116  0.5099  2 Re 2.65, 3 Ag 2.78-2.89



(6)
Computed, not measured: a geometry-optimized V3MoIr structure at the PBE level of DFT.

magnetization	1.88	μB per formula unit
polymorph energy (0 for the lowest one)	1.515	eV/atom
total energy	-8.187	eV/atom
space group	No. 221
ΔH_f (0 K)	1.222	eV per atom

Cell lengths 4.5877, 4.5877, 4.5877 Å; angles 90.00, 90.00, 90.00 degrees
Closest atoms and distances in Å follow each position.
Fractional positions:
V  0.0000  0.0000  0.5000  2 Ir 2.29
V  0.0000  0.5000  0.0000  2 Ir 2.29
V  0.5000  0.0000  0.0000  2 Ir 2.29
Mo  0.5000  0.5000  0.5000  12 V 3.24
Ir  0.0000  0.0000  0.0000  6 V 2.29



(7)
Computed, not measured: a geometry-optimized BaCaLa structure at the PBE level of DFT.

magnetization	0.00	μB per formula unit
polymorph energy (0 for the lowest one)	0.035	eV/atom
total energy	-2.833	eV/atom
space group	No. 156
ΔH_f (0 K)	0.118	eV per atom

Cell lengths 3.9566, 3.9566, 9.9381 Å; angles 90.00, 90.00, 120.00 degrees
Closest atoms and distances in Å follow each position.
Fractional positions:
La  0.3333  0.6667  0.6560  3 Ca 3.82, 6 La 3.96, 3 Ba 4.08
Ba  0.0000  0.0000  0.9965  6 Ba 3.96, 3 La 4.08, 3 Ca 4.17
Ca  0.6667  0.3333  0.3475  3 La 3.82, 6 Ca 3.96, 3 Ba 4.17



(8)
Computed, not measured: a geometry-optimized Ac4Pt structure at the PBE level of DFT.

magnetization	0.31	μB per formula unit
polymorph energy (0 for the lowest one)	0.036	eV/atom
total energy	-4.863	eV/atom
space group	No. 221
ΔH_f (0 K)	-0.368	eV per atom

Cell lengths 6.0213, 6.0213, 6.0213 Å; angles 90.00, 90.00, 90.00 degrees
Closest atoms and distances in Å follow each position.
Fractional positions:
Ac  0.5000  0.5000  0.0000  2 Pt 3.01
Ac  0.0000  0.0000  0.0000  12 Ac 4.26
Ac  0.0000  0.5000  0.5000  2 Pt 3.01
Ac  0.5000  0.0000  0.5000  2 Pt 3.01
Pt  0.5000  0.5000  0.5000  6 Ac 3.01